Here is a crystal of Tc2Os2F relaxed with PBEsol from the Alexandria database. Energies are from meta-GGA SCAN.

Output
Uncorrected formation energy (meV/atom): 555
Total DFT energy (no corrections) (eV/atom): -42.929
V (Å³ per atom): 16.9

a b c (Å): 6.013 6.013 6.013
angles (deg): 141.25 141.25 55.95
Positions (direct):
Tc (0.250, 0.750, 0.500)
Tc (0.750, 0.250, 0.500)
Os (0.116, 0.116, 0.000)
Os (0.884, 0.884, 0.000)
F (0.500, 0.500, 0.000)